Entry 1:
# KRbTm2Sb2

An optimized crystal structure of KRbTm2Sb2 (PBE, OQMD via LeMat-Bulk).

Cell lengths 4.9901, 4.9901, 13.0653 Å; angles 90.00, 90.00, 120.00 degrees
Space group P3m1 (No. 156)
One atom of each set of equivalent atoms:
K  0.0000  0.0000  0.0000 (multiplicity 1)
Rb  0.6667  0.3333  0.4974 (multiplicity 1)
Tm  0.3333  0.6667  0.2359 (multiplicity 1)
Tm  0.3333  0.6667  0.7527 (multiplicity 1)
Sb  0.0000  0.0000  0.7009 (multiplicity 1)
Sb  0.6667  0.3333  0.1835 (multiplicity 1)

Computed properties:
Electronic total energy = -3.490 eV/atom
Size of the total moment = 0.28 μB per atom
Calculated volume = 281.8 Å³/cell
Crystal system = trigonal
Excess energy over the best structure of this formula in the dataset = 304 meV per atom

***

Entry 2:
# KRbZn2Sb2

An optimized crystal structure of KRbZn2Sb2 (PBE, OQMD via LeMat-Bulk).

Cell lengths 4.5799, 4.5799, 10.9692 Å; angles 90.00, 90.00, 120.00 degrees
Space group P-3m1 (No. 164)
One atom of each set of equivalent atoms:
K  0.0000  0.0000  0.0000 (multiplicity 1)
Rb  0.0000  0.0000  0.5000 (multiplicity 1)
Zn  0.3333  0.6667  0.2434 (multiplicity 2)
Sb  0.3333  0.6667  0.7564 (multiplicity 2)

Computed properties:
Electronic total energy = -2.543 eV/atom
Calculated volume = 199.3 Å³/cell
Crystal system = trigonal

***

Entry 3:
# KRbThSe3

An optimized crystal structure of KRbThSe3 (PBE, OQMD via LeMat-Bulk).

Cell lengths 4.4124, 19.7482, 12.2743 Å; angles 90.00, 90.00, 90.00 degrees
Space group Cmcm (No. 63)
One atom of each set of equivalent atoms:
K  0.0000  0.1142  0.2500 (multiplicity 4)
Rb  0.0000  0.1384  0.7500 (multiplicity 4)
Th  0.0000  0.5000  0.0000 (multiplicity 4)
Se  0.0000  0.0974  0.0027 (multiplicity 8)
Se  0.0000  0.4942  0.2500 (multiplicity 4)

Computed properties:
Electronic total energy = -4.743 eV/atom
Size of the total moment = 0.00 μB per atom
Calculated volume = 1069.6 Å³/cell
Crystal system = orthorhombic

***

Entry 4:
# KRbUSe4

An optimized crystal structure of KRbUSe4 (PBE, OQMD via LeMat-Bulk).

Cell lengths 13.3336, 8.6415, 4.2542 Å; angles 90.00, 95.94, 90.00 degrees
Space group Cm (No. 8)
One atom of each set of equivalent atoms:
K  0.0000  0.0000  0.0000 (multiplicity 2)
Rb  0.1890  0.5000  0.4723 (multiplicity 2)
U  0.3420  0.0000  0.7295 (multiplicity 2)
Se  0.2269  0.2017  0.9767 (multiplicity 4)
Se  0.4556  0.2091  0.4988 (multiplicity 4)

Computed properties:
Electronic total energy = -4.768 eV/atom
Size of the total moment = 0.00 μB per atom
Calculated volume = 487.6 Å³/cell
Crystal system = monoclinic

***

Entry 5:
# KRbZrSe3

An optimized crystal structure of KRbZrSe3 (PBE, OQMD via LeMat-Bulk).

Cell lengths 8.1051, 4.0569, 11.1781 Å; angles 90.00, 94.93, 90.00 degrees
Space group P2_1/m (No. 11)
One atom of each set of equivalent atoms:
K  0.0831  0.2500  0.1440 (multiplicity 2)
Rb  0.2473  0.7500  0.4806 (multiplicity 2)
Zr  0.3995  0.2500  0.8339 (multiplicity 2)
Se  0.1264  0.2500  0.7029 (multiplicity 2)
Se  0.3091  0.7500  0.9872 (multiplicity 2)
Se  0.4527  0.2500  0.2824 (multiplicity 2)

Computed properties:
Electronic total energy = -4.845 eV/atom
Size of the total moment = 0.00 μB per atom
Calculated volume = 366.2 Å³/cell
Crystal system = monoclinic
Excess energy over the best structure of this formula in the dataset = 0 meV per atom

***

Entry 6:
# KRbZrSe3

An optimized crystal structure of KRbZrSe3 (PBE, OQMD via LeMat-Bulk).

Cell lengths 13.5785, 4.0481, 13.6438 Å; angles 90.00, 90.00, 90.00 degrees
Space group Pnma (No. 62)
One atom of each set of equivalent atoms:
K  0.1970  0.2500  0.2286 (multiplicity 4)
Rb  0.1403  0.2500  0.5146 (multiplicity 4)
Zr  0.0634  0.7500  0.8756 (multiplicity 4)
Se  0.0408  0.7500  0.6903 (multiplicity 4)
Se  0.0716  0.7500  0.0875 (multiplicity 4)
Se  0.2005  0.2500  0.8893 (multiplicity 4)

Computed properties:
Electronic total energy = -4.784 eV/atom
Size of the total moment = 0.00 μB per atom
Calculated volume = 750.0 Å³/cell
Crystal system = orthorhombic
Excess energy over the best structure of this formula in the dataset = 61 meV per atom

***

Entry 7:
# KRbZrSe3

An optimized crystal structure of KRbZrSe3 (PBE, OQMD via LeMat-Bulk).

Cell lengths 4.0233, 19.7211, 11.7922 Å; angles 90.00, 90.00, 90.00 degrees
Space group Cmcm (No. 63)
One atom of each set of equivalent atoms:
K  0.0000  0.1166  0.2500 (multiplicity 4)
Rb  0.0000  0.1401  0.7500 (multiplicity 4)
Zr  0.0000  0.5000  0.0000 (multiplicity 4)
Se  0.0000  0.0929  0.0020 (multiplicity 8)
Se  0.0000  0.4939  0.2500 (multiplicity 4)

Computed properties:
Electronic total energy = -4.618 eV/atom
Size of the total moment = 0.00 μB per atom
Calculated volume = 935.6 Å³/cell
Crystal system = orthorhombic
Excess energy over the best structure of this formula in the dataset = 227 meV per atom

***

Entry 8:
# KRb3Zn2Sn2

An optimized crystal structure of KRb3Zn2Sn2 (PBE, OQMD via LeMat-Bulk).

Cell lengths 6.9947, 6.7255, 7.0576 Å; angles 90.00, 107.83, 90.00 degrees
Space group Pm (No. 6)
One atom of each set of equivalent atoms:
K  0.0000  0.0000  0.0000 (multiplicity 1)
Rb  0.3464  0.5000  0.0176 (multiplicity 1)
Rb  0.6626  0.0000  0.3346 (multiplicity 1)
Rb  0.6862  0.5000  0.6840 (multiplicity 1)
Zn  0.1744  0.2498  0.5062 (multiplicity 2)
Sn  0.4126  0.0000  0.7564 (multiplicity 1)
Sn  0.9302  0.5000  0.2626 (multiplicity 1)

Computed properties:
Electronic total energy = -1.988 eV/atom
Calculated volume = 316.1 Å³/cell
Crystal system = monoclinic

***

Entry 9:
# KRbTa

An optimized crystal structure of KRbTa (PBE, OQMD via LeMat-Bulk).

Cell lengths 8.7727, 8.7727, 8.7727 Å; angles 90.00, 90.00, 90.00 degrees
Space group F-43m (No. 216)
One atom of each set of equivalent atoms:
K  0.0000  0.0000  0.0000 (multiplicity 4)
Rb  0.0000  0.0000  0.5000 (multiplicity 4)
Ta  0.2500  0.2500  0.2500 (multiplicity 4)

Computed properties:
Electronic total energy = -2.651 eV/atom
Size of the total moment = 1.67 μB per atom
Calculated volume = 675.1 Å³/cell
Crystal system = cubic
Excess energy over the best structure of this formula in the dataset = 0 meV per atom

***

Entry 10:
# KRb2TaTe4

An optimized crystal structure of KRb2TaTe4 (PBE, OQMD via LeMat-Bulk).

Cell lengths 8.9383, 8.9383, 8.6199 Å; angles 90.00, 90.00, 90.00 degrees
Space group I-42m (No. 121)
One atom of each set of equivalent atoms:
K  0.0000  0.0000  0.0000 (multiplicity 2)
Rb  0.0000  0.5000  0.0000 (multiplicity 4)
Ta  0.0000  0.0000  0.5000 (multiplicity 2)
Te  0.1703  0.1703  0.3225 (multiplicity 8)

Computed properties:
Electronic total energy = -4.209 eV/atom
Size of the total moment = 0.00 μB per atom
Calculated volume = 688.7 Å³/cell
Crystal system = tetragonal

***

Entry 11:
# KRbTb

An optimized crystal structure of KRbTb (PBE, OQMD via LeMat-Bulk).

Cell lengths 9.3477, 9.3477, 9.3477 Å; angles 90.00, 90.00, 90.00 degrees
Space group F-43m (No. 216)
One atom of each set of equivalent atoms:
K  0.0000  0.0000  0.0000 (multiplicity 4)
Rb  0.2500  0.2500  0.7500 (multiplicity 4)
Tb  0.2500  0.2500  0.2500 (multiplicity 4)

Computed properties:
Electronic total energy = -1.205 eV/atom
Size of the total moment = 0.49 μB per atom
Calculated volume = 816.8 Å³/cell
Crystal system = cubic

***

Entry 12:
# KRbTc

An optimized crystal structure of KRbTc (PBE, OQMD via LeMat-Bulk).

Cell lengths 8.4383, 8.4383, 8.4383 Å; angles 90.00, 90.00, 90.00 degrees
Space group F-43m (No. 216)
One atom of each set of equivalent atoms:
K  0.0000  0.0000  0.0000 (multiplicity 4)
Rb  0.0000  0.0000  0.5000 (multiplicity 4)
Tc  0.2500  0.2500  0.2500 (multiplicity 4)

Computed properties:
Electronic total energy = -2.488 eV/atom
Size of the total moment = 1.05 μB per atom
Calculated volume = 600.9 Å³/cell
Crystal system = cubic
Excess energy over the best structure of this formula in the dataset = 0 meV per atom

***

Entry 13:
# KRbThTe3

An optimized crystal structure of KRbThTe3 (PBE, OQMD via LeMat-Bulk).

Cell lengths 4.6752, 22.9570, 13.1632 Å; angles 90.00, 90.00, 90.00 degrees
Space group Cmcm (No. 63)
One atom of each set of equivalent atoms:
K  0.0000  0.1025  0.2500 (multiplicity 4)
Rb  0.0000  0.1251  0.7500 (multiplicity 4)
Th  0.0000  0.5000  0.0000 (multiplicity 4)
Te  0.0000  0.0920  0.0029 (multiplicity 8)
Te  0.0000  0.4937  0.2500 (multiplicity 4)

Computed properties:
Electronic total energy = -4.234 eV/atom
Size of the total moment = 0.00 μB per atom
Calculated volume = 1412.8 Å³/cell
Crystal system = orthorhombic

***

Entry 14:
# KRbU

An optimized crystal structure of KRbU (PBE, OQMD via LeMat-Bulk).

Cell lengths 9.4312, 9.4312, 9.4312 Å; angles 90.00, 90.00, 90.00 degrees
Space group F-43m (No. 216)
One atom of each set of equivalent atoms:
K  0.0000  0.0000  0.0000 (multiplicity 4)
Rb  0.2500  0.2500  0.7500 (multiplicity 4)
U  0.2500  0.2500  0.2500 (multiplicity 4)

Computed properties:
Electronic total energy = -2.643 eV/atom
Size of the total moment = 1.78 μB per atom
Calculated volume = 838.9 Å³/cell
Crystal system = cubic
Excess energy over the best structure of this formula in the dataset = 0 meV per atom

***

Entry 15:
# KRbZn2

An optimized crystal structure of KRbZn2 (PBE, OQMD via LeMat-Bulk).

Cell lengths 5.3763, 5.6138, 19.3621 Å; angles 90.00, 90.00, 90.00 degrees
Space group Cmcm (No. 63)
One atom of each set of equivalent atoms:
K  0.0000  0.0000  0.0000 (multiplicity 4)
Rb  0.0000  0.0050  0.2500 (multiplicity 4)
Zn  0.0000  0.4983  0.6201 (multiplicity 8)

Computed properties:
Electronic total energy = -0.904 eV/atom
Calculated volume = 584.4 Å³/cell
Crystal system = orthorhombic

***

Entry 16:
# KRbZr

An optimized crystal structure of KRbZr (PBE, OQMD via LeMat-Bulk).

Cell lengths 9.0783, 9.0783, 9.0783 Å; angles 90.00, 90.00, 90.00 degrees
Space group F-43m (No. 216)
One atom of each set of equivalent atoms:
K  0.0000  0.0000  0.0000 (multiplicity 4)
Rb  0.0000  0.0000  0.5000 (multiplicity 4)
Zr  0.2500  0.2500  0.2500 (multiplicity 4)

Computed properties:
Electronic total energy = -2.050 eV/atom
Size of the total moment = 1.33 μB per atom
Calculated volume = 748.2 Å³/cell
Crystal system = cubic

***

Entry 17:
# K2Re

An optimized crystal structure of K2Re (PBE, OQMD via LeMat-Bulk).

Cell lengths 14.7012, 14.7012, 14.7012 Å; angles 90.00, 90.00, 90.00 degrees
Space group Fd-3m (No. 227, origin choice 2)
One atom of each set of equivalent atoms:
K  0.0000  0.0000  0.0000 (multiplicity 16)
Re  0.1250  0.1250  0.1250 (multiplicity 8)

Computed properties:
Electronic total energy = -2.352 eV/atom
Size of the total moment = 1.36 μB per atom
Calculated volume = 3177.3 Å³/cell
Crystal system = cubic
Excess energy over the best structure of this formula in the dataset = 1059 meV per atom

***

Entry 18:
# K2Re

An optimized crystal structure of K2Re (PBE, OQMD via LeMat-Bulk).

Cell lengths 6.9981, 6.9981, 12.7583 Å; angles 90.00, 90.00, 120.00 degrees
Space group P6_3/mmc (No. 194)
One atom of each set of equivalent atoms:
K  0.0000  0.0000  0.0000 (multiplicity 2)
K  0.1744  0.3488  0.2500 (multiplicity 6)
Re  0.3333  0.6667  0.6688 (multiplicity 4)

Computed properties:
Electronic total energy = -3.412 eV/atom
Size of the total moment = 0.36 μB per atom
Calculated volume = 541.1 Å³/cell
Crystal system = hexagonal
Excess energy over the best structure of this formula in the dataset = 0 meV per atom

***

Entry 19:
# KRe8

An optimized crystal structure of KRe8 (PBE, OQMD via LeMat-Bulk).

Cell lengths 9.4742, 9.7253, 15.7389 Å; angles 90.00, 90.00, 90.00 degrees
Space group Fddd (No. 70, origin choice 2)
One atom of each set of equivalent atoms:
K  0.1250  0.1250  0.1250 (multiplicity 8)
Re  0.1041  0.2529  0.9526 (multiplicity 32)
Re  0.1137  0.2517  0.7894 (multiplicity 32)

Computed properties:
Electronic total energy = -9.660 eV/atom
Size of the total moment = 0.00 μB per atom
Calculated volume = 1450.2 Å³/cell
Crystal system = orthorhombic

***

Entry 20:
# K3ReS4

An optimized crystal structure of K3ReS4 (PBE, OQMD via LeMat-Bulk).

Cell lengths 10.6719, 11.3216, 7.6758 Å; angles 90.00, 90.00, 90.00 degrees
Space group Cmc2_1 (No. 36)
One atom of each set of equivalent atoms:
K  0.0000  0.1983  0.0000 (multiplicity 4)
K  0.2208  0.4678  0.9914 (multiplicity 8)
Re  0.0000  0.2549  0.5004 (multiplicity 4)
S  0.0000  0.0777  0.6301 (multiplicity 4)
S  0.0000  0.3994  0.6996 (multiplicity 4)
S  0.1698  0.2720  0.3321 (multiplicity 8)

Computed properties:
Electronic total energy = -4.857 eV/atom
Size of the total moment = 0.25 μB per atom
Calculated volume = 927.4 Å³/cell
Crystal system = orthorhombic

***

Entry 21:
# KRe3S5

An optimized crystal structure of KRe3S5 (PBE, OQMD via LeMat-Bulk).

Cell lengths 5.6536, 5.6536, 6.9911 Å; angles 90.00, 90.00, 120.00 degrees
Space group P6/mmm (No. 191)
One atom of each set of equivalent atoms:
K  0.0000  0.0000  0.0000 (multiplicity 1)
Re  0.0000  0.5000  0.5000 (multiplicity 3)
S  0.0000  0.0000  0.5000 (multiplicity 1)
S  0.3333  0.6667  0.2499 (multiplicity 4)

Computed properties:
Electronic total energy = -6.693 eV/atom
Size of the total moment = 0.32 μB per atom
Calculated volume = 193.5 Å³/cell
Crystal system = hexagonal

***

Entry 22:
# KTbReS4

An optimized crystal structure of KTbReS4 (PBE, OQMD via LeMat-Bulk).

Cell lengths 6.5476, 6.5393, 8.6627 Å; angles 90.00, 109.28, 90.00 degrees
Space group P2_1 (No. 4)
One atom of each set of equivalent atoms:
K  0.2395  0.0000  0.0518 (multiplicity 2)
Tb  0.2101  0.0098  0.5439 (multiplicity 2)
Re  0.2761  0.5241  0.3476 (multiplicity 2)
S  0.0071  0.2552  0.7101 (multiplicity 2)
S  0.0076  0.2710  0.2899 (multiplicity 2)
S  0.4297  0.4560  0.1591 (multiplicity 2)
S  0.4851  0.3602  0.5860 (multiplicity 2)

Computed properties:
Electronic total energy = -5.979 eV/atom
Size of the total moment = 0.14 μB per atom
Calculated volume = 350.1 Å³/cell
Crystal system = monoclinic

***

Entry 23:
# K3Re3Sb2

An optimized crystal structure of K3Re3Sb2 (PBE, OQMD via LeMat-Bulk).

Cell lengths 5.4203, 5.4203, 24.0539 Å; angles 90.00, 90.00, 120.00 degrees
Space group R-3m (No. 166, hexagonal axes)
One atom of each set of equivalent atoms:
K  0.0000  0.0000  0.0000 (multiplicity 3)
K  0.0000  0.0000  0.4116 (multiplicity 6)
Re  0.0000  0.5000  0.5000 (multiplicity 9)
Sb  0.0000  0.0000  0.2611 (multiplicity 6)

Computed properties:
Electronic total energy = -5.607 eV/atom
Size of the total moment = 0.00 μB per atom
Calculated volume = 612.0 Å³/cell
Crystal system = trigonal